Compound: Nb2NiPt
Source: the Alexandria database
Functional: GGA-PBE
Structure: relaxed

Cell: 3.6143 3.6143 6.5303 Å, 73.93 73.93 60.00°
Last column: nearest neighbours and their distance in Å.
Fractional positions:
Pt  0.5000  0.5000  0.5000  6 Nb 2.72
Ni  0.0000  0.0000  0.0000  6 Nb 2.49
Nb  0.2606  0.2606  0.2183  3 Ni 2.49, 3 Pt 2.72
Nb  0.7394  0.7394  0.7817  3 Ni 2.49, 3 Pt 2.72

Results
Density = 10428 kg/m³
ΔE_f = 0.559 eV/f.u.
Symmetry = R-3m